The following is a GGA+U calculation of AcCr4O12 after structural relaxation, from the Alexandria database.

uncorrected energy = -7.030 eV per atom

a = 6.6381 Å, b = 6.8704 Å, c = 7.3871 Å
α = 69.44°, β = 63.39°, γ = 63.55°
Sites, in units of the cell vectors:
Ac 0.0000 0.0000 0.0000
Cr 0.0368 0.9455 0.4944
Cr 0.1421 0.4646 0.7758
Cr 0.5209 0.5048 0.9265
Cr 0.6057 0.7934 0.4572
O 0.1022 0.0937 0.2586
O 0.1635 0.6377 0.5337
O 0.2023 0.5841 0.9169
O 0.3103 0.9438 0.5421
O 0.3170 0.2033 0.7802
O 0.4082 0.7274 0.0283
O 0.5405 0.2573 0.0732
O 0.6497 0.5524 0.6275
O 0.6954 0.7478 0.2286
O 0.7719 0.9346 0.4332
O 0.8571 0.0449 0.7094
O 0.8619 0.4314 0.9006